{"formula": "SrCa3Pt4", "functional": "GGA-PBE", "state": "relaxed", "delta_e_f_ev_per_atom": -0.816, "cell": [[4.9889, 0.0000, 0.0000], [0.0000, 4.9889, 0.0000], [0.0000, 0.0000, 7.1504]], "species": ["Sr", "Ca", "Ca", "Ca", "Pt", "Pt", "Pt", "Pt"], "frac_coords": [[0.0000, 0.0000, 0.0000], [0.0000, 0.0000, 0.5000], [0.5000, 0.5000, 0.0000], [0.5000, 0.5000, 0.5000], [0.0000, 0.5000, 0.2624], [0.0000, 0.5000, 0.7376], [0.5000, 0.0000, 0.2624], [0.5000, 0.0000, 0.7376]]}

=====

{"formula": "CaTl2Zn", "functional": "GGA-PBE", "state": "relaxed", "delta_e_f_ev_per_atom": -0.123, "cell": [[7.4933, 0.0000, 0.0000], [0.0000, 7.4933, 0.0000], [0.0000, 0.0000, 7.4933]], "species": ["Ca", "Ca", "Ca", "Ca", "Tl", "Tl", "Tl", "Tl", "Tl", "Tl", "Tl", "Tl", "Zn", "Zn", "Zn", "Zn"], "frac_coords": [[0.0000, 0.0000, 0.0000], [0.0000, 0.5000, 0.5000], [0.5000, 0.0000, 0.5000], [0.5000, 0.5000, 0.0000], [0.0000, 0.0000, 0.5000], [0.0000, 0.5000, 0.0000], [0.2500, 0.2500, 0.7500], [0.2500, 0.7500, 0.2500], [0.5000, 0.0000, 0.0000], [0.5000, 0.5000, 0.5000], [0.7500, 0.2500, 0.2500], [0.7500, 0.7500, 0.7500], [0.2500, 0.2500, 0.2500], [0.2500, 0.7500, 0.7500], [0.7500, 0.2500, 0.7500], [0.7500, 0.7500, 0.2500]]}

=====

{"formula": "In12Sn5Bi2", "functional": "GGA-PBE", "state": "relaxed", "delta_e_f_ev_per_atom": 0.036, "relative_energy_mev_per_atom": 0, "cell": [[10.9771, -5.0187, 0.0000], [10.9771, 5.0187, 0.0000], [-1.0819, 0.0000, 4.9780]], "species": ["In", "In", "In", "In", "In", "In", "In", "In", "In", "In", "In", "In", "Sn", "Sn", "Sn", "Sn", "Sn", "Bi", "Bi"], "frac_coords": [[0.0481, 0.5463, 0.7968], [0.0999, 0.0999, 0.1075], [0.1434, 0.6547, 0.3998], [0.3453, 0.8566, 0.6002], [0.3976, 0.3976, 0.8934], [0.4537, 0.9519, 0.2032], [0.5463, 0.0481, 0.7968], [0.6024, 0.6024, 0.1066], [0.6547, 0.1434, 0.3998], [0.8566, 0.3453, 0.6002], [0.9001, 0.9001, 0.8925], [0.9519, 0.4537, 0.2032], [0.1959, 0.1959, 0.7002], [0.3049, 0.3049, 0.3052], [0.5000, 0.5000, 0.5000], [0.6951, 0.6951, 0.6948], [0.8041, 0.8041, 0.2998], [0.2472, 0.7528, 0.0000], [0.7528, 0.2472, 0.0000]]}

=====

{"formula": "K3Pm2SmSe6", "functional": "GGA-PBE", "state": "relaxed", "raw_formation_energy_ev_per_fu": -21.1, "cell": [[3.7345, -6.4685, 0.0000], [3.7345, 6.4685, 0.0000], [-2.4909, 0.0000, 7.7012]], "species": ["K", "K", "K", "Pm", "Pm", "Sm", "Se", "Se", "Se", "Se", "Se", "Se"], "frac_coords": [[0.0000, 0.0000, 0.0000], [0.3330, 0.6670, 0.0000], [0.6670, 0.3330, 0.0000], [0.1666, 0.8334, 0.5000], [0.8334, 0.1666, 0.5000], [0.5000, 0.5000, 0.5000], [0.0980, 0.4301, 0.2905], [0.2378, 0.2378, 0.7096], [0.4301, 0.0980, 0.2905], [0.5699, 0.9020, 0.7095], [0.7622, 0.7622, 0.2904], [0.9020, 0.5699, 0.7095]]}